A geometry-optimized Tb2SmCo structure. Source: Alexandria via LeMat-Bulk, functional GGA-PBE.

Unit cell a=6.317 b=6.974 c=9.544 alpha=90.00 beta=90.00 gamma=90.00
Sites, in units of the cell vectors:
Tb  0.677  0.828  0.931
Tb  0.323  0.172  0.069
Tb  0.823  0.328  0.931
Tb  0.677  0.828  0.569
Tb  0.823  0.328  0.569
Tb  0.177  0.672  0.431
Tb  0.323  0.172  0.431
Tb  0.177  0.672  0.069
Co  0.442  0.886  0.250
Co  0.942  0.614  0.750
Co  0.558  0.114  0.750
Co  0.058  0.386  0.250
Sm  0.642  0.543  0.250
Sm  0.358  0.457  0.750
Sm  0.142  0.957  0.750
Sm  0.858  0.043  0.250

## Properties
- Space group: Pnma, No. 62
- Size of the total moment: 0.00 Bohr magnetons per cell
- Energy relative to the lowest polymorph listed for this composition: 0.0000 eV per atom
- Formation energy: -132 meV/atom

***

A geometry-optimized TbSmCo structure. Source: Alexandria via LeMat-Bulk, functional GGA-PBE.

Unit cell a=3.696 b=6.437 c=6.947 alpha=74.86 beta=105.35 gamma=106.68
Sites, in units of the cell vectors:
Sm  0.826  0.238  0.913
Sm  0.174  0.762  0.087
Co  0.116  0.040  0.691
Co  0.884  0.960  0.309
Tb  0.422  0.732  0.612
Tb  0.578  0.268  0.388

## Properties
- Space group: P-1, No. 2
- Size of the total moment: 0.00 Bohr magnetons per cell
- Energy relative to the lowest polymorph listed for this composition: 0.0000 eV per atom
- Formation energy: -126 meV/atom

***

A geometry-optimized Tb4SmCo4 structure. Source: Alexandria via LeMat-Bulk, functional GGA-PBE.

Unit cell a=5.601 b=8.465 c=8.465 alpha=90.00 beta=90.00 gamma=90.00
Sites, in units of the cell vectors:
Sm  0.000  0.000  0.000
Sm  0.500  0.500  0.500
Co  0.365  0.361  0.235
Co  0.635  0.765  0.361
Co  0.635  0.235  0.639
Co  0.135  0.861  0.735
Co  0.865  0.735  0.139
Co  0.865  0.265  0.861
Co  0.135  0.139  0.265
Co  0.365  0.639  0.765
Tb  0.617  0.924  0.688
Tb  0.383  0.688  0.076
Tb  0.117  0.188  0.576
Tb  0.383  0.312  0.924
Tb  0.617  0.076  0.312
Tb  0.117  0.812  0.424
Tb  0.883  0.576  0.812
Tb  0.883  0.424  0.188

## Properties
- Space group: P4_2/n, No. 86
- Size of the total moment: 0.00 Bohr magnetons per cell
- Formation energy: -40 meV/atom

***

A geometry-optimized TbSm3Co2 structure. Source: Alexandria via LeMat-Bulk, functional GGA-PBE.

Unit cell a=3.779 b=8.603 c=10.051 alpha=78.37 beta=79.17 gamma=77.31
Sites, in units of the cell vectors:
Co  0.765  0.921  0.548
Co  0.235  0.079  0.452
Co  0.233  0.580  0.953
Co  0.767  0.420  0.047
Sm  0.583  0.278  0.555
Sm  0.584  0.772  0.060
Sm  0.416  0.228  0.940
Sm  0.840  0.070  0.249
Sm  0.417  0.722  0.445
Sm  0.160  0.930  0.751
Tb  0.839  0.570  0.752
Tb  0.161  0.430  0.248

## Properties
- Space group: C2/m, No. 12
- Size of the total moment: 0.00 Bohr magnetons per cell
- Formation energy: -102 meV/atom

***

A geometry-optimized Tb3Sm4Co4 structure. Source: Alexandria via LeMat-Bulk, functional GGA-PBE.

Unit cell a=3.650 b=8.884 c=9.224 alpha=118.79 beta=101.41 gamma=90.00
Sites, in units of the cell vectors:
Co  0.500  0.786  0.000
Co  0.500  0.214  0.000
Co  0.746  0.246  0.493
Co  0.254  0.754  0.507
Sm  0.336  0.150  0.671
Sm  0.664  0.479  0.329
Sm  0.336  0.521  0.671
Sm  0.664  0.850  0.329
Tb  0.000  0.500  0.000
Tb  0.898  0.898  0.796
Tb  0.102  0.102  0.204

## Properties
- Space group: Immm, No. 71
- Size of the total moment: 0.00 Bohr magnetons per cell
- Formation energy: -10 meV/atom

***

A geometry-optimized TbSm2Co9 structure. Source: Alexandria via LeMat-Bulk, functional GGA-PBE.

Unit cell a=4.998 b=4.998 c=8.723 alpha=73.35 beta=73.35 gamma=60.00
Site moments in Bohr magnetons follow the coordinates.
Sites, in units of the cell vectors:
Co  0.421  0.920  0.239  1.30
Co  0.421  0.421  0.239  1.30
Co  0.080  0.579  0.761  1.30
Co  0.334  0.334  0.998  1.47
Co  0.920  0.421  0.239  1.30
Co  0.579  0.579  0.761  1.30
Co  0.500  0.500  0.500  1.11
Co  0.666  0.666  0.002  1.47
Co  0.579  0.080  0.761  1.30
Tb  0.000  0.000  0.000  -0.31
Sm  0.860  0.860  0.419  -0.27
Sm  0.140  0.140  0.581  -0.27

## Properties
- Space group: R-3m, No. 166
- Size of the total moment: 10.39 Bohr magnetons per cell
- Formation energy: -114 meV/atom

***

A geometry-optimized Tb2SmCo structure. Source: Alexandria via LeMat-Bulk, functional GGA-PBE.

Unit cell a=3.790 b=3.790 c=9.306 alpha=78.25 beta=78.25 gamma=60.00
Sites, in units of the cell vectors:
Sm  0.501  0.501  0.496
Tb  0.056  0.056  0.833
Tb  0.277  0.277  0.169
Co  0.666  0.666  0.001

## Properties
- Space group: R3m, No. 160
- Size of the total moment: 0.00 Bohr magnetons per cell
- Energy relative to the lowest polymorph listed for this composition: 0.1270 eV per atom
- Formation energy: -6 meV/atom

***

A geometry-optimized Tb3SmCo structure. Source: Alexandria via LeMat-Bulk, functional GGA-PBE.

Unit cell a=7.395 b=7.839 c=9.950 alpha=107.18 beta=90.00 gamma=90.00
Sites, in units of the cell vectors:
Tb  0.128  0.076  0.388
Tb  0.300  0.589  0.034
Tb  0.503  0.210  0.614
Tb  0.700  0.411  0.966
Tb  0.800  0.411  0.466
Tb  0.200  0.589  0.534
Tb  0.997  0.210  0.114
Tb  0.872  0.924  0.612
Tb  0.003  0.790  0.886
Tb  0.497  0.790  0.386
Tb  0.372  0.076  0.888
Tb  0.628  0.924  0.112
Co  0.255  0.950  0.604
Co  0.745  0.050  0.396
Co  0.245  0.950  0.104
Co  0.755  0.050  0.896
Sm  0.444  0.318  0.248
Sm  0.944  0.682  0.252
Sm  0.556  0.682  0.752
Sm  0.056  0.318  0.748

## Properties
- Space group: P2_1/c, No. 14
- Size of the total moment: 0.00 Bohr magnetons per cell
- Energy relative to the lowest polymorph listed for this composition: 0.0826 eV per atom
- Formation energy: -12 meV/atom

***

no.,final energy (Ry per atom)
1,-0.397
2,-0.412
3,-0.425
4,-0.412
5,-0.410
6,-0.486
7,-0.388
8,-0.379